Entry 1:
The following is a DFT calculation (PBE) of an optimized crystal structure of BaNaTaN3.

The space group is C2/c (No. 15) and the conventional cell measures 6.0450, 11.6383 and 5.7253 Å, with angles of 90.00, 99.94 and 90.00 degrees. Symmetry generates all atoms from Ba at (0.0000, 0.2352, 0.2500), Na at (0.0000, 0.0715, 0.7500), Ta at (0.0000, 0.4522, 0.7500), N at (0.0000, 0.2837, 0.7500) and N at (0.2125, 0.4571, 0.4935).

For the total energy, the calculation gives -7.355 eV per atom. As for the magnetic moment: 0.97 μB per formula unit. As for the theoretical density: 6.42 g/cm3.

=====

Entry 2:
The following is a DFT calculation (PBE) of an optimized crystal structure of P2WSe.

The space group is P4mm (No. 99) and the conventional cell measures 3.1121, 3.1121 and 7.3735 Å, with angles of 90.00, 90.00 and 90.00 degrees. Symmetry generates all atoms from P at (0.0000, 0.0000, 0.0000), P at (0.5000, 0.5000, 0.1477), W at (0.5000, 0.5000, 0.8070) and Se at (0.0000, 0.0000, 0.5915).

For the total energy, the calculation gives -6.782 eV per atom. As for the magnetic moment: 0.00 μB per formula unit. As for the theoretical density: 7.55 g/cm3.

=====

Entry 3:
The following is a DFT calculation (PBE) of an optimized crystal structure of AlInRu4.

The space group is F-43m (No. 216) and the conventional cell measures 7.2797, 7.2797 and 7.2797 Å, with angles of 90.00, 90.00 and 90.00 degrees. Symmetry generates all atoms from Al at (0.0000, 0.0000, 0.0000), In at (0.2500, 0.2500, 0.7500) and Ru at (0.1252, 0.1252, 0.3748).

The energy relative to the elements comes out at 0.315 eV per atom. As for the magnetic moment: 0.00 μB per formula unit. As for the theoretical density: 9.40 g/cm3.